Entry 1:
La2GeP | PBE-GGA | optimized geometry

```
data_La2GeP
_chemical_formula_sum 'La8 Ge4 P4'
_cell_length_a 7.895
_cell_length_b 7.895
_cell_length_c 7.438
_cell_angle_alpha 90.00
_cell_angle_beta 90.00
_cell_angle_gamma 90.00
_symmetry_space_group_name_H-M 'I -4 2 d'
_symmetry_Int_Tables_number 122
_symmetry_space_group_name_Hall 'I -4 2bw'
loop_
_atom_site_label
_atom_site_type_symbol
_atom_site_fract_x
_atom_site_fract_y
_atom_site_fract_z
La1 La 0.236 0.750 0.125
Ge1 Ge 0.000 0.000 0.500
P1 P 0.000 0.000 0.000
```

Summary:
Uncorrected energy in eV per atom: -5.80
Fermi-level density of states in states/eV/cell: 11.22
Offset from the most stable computed form in meV/atom: 388

Entry 2:
Rb5Sn3Hg12 | PBE-GGA | optimized geometry

```
data_Rb5Sn3Hg12
_chemical_formula_sum 'Rb40 Sn24 Hg96'
_cell_length_a 19.343
_cell_length_b 19.343
_cell_length_c 19.343
_cell_angle_alpha 90.00
_cell_angle_beta 90.00
_cell_angle_gamma 90.00
_symmetry_space_group_name_H-M 'I a -3 d'
_symmetry_Int_Tables_number 230
_symmetry_space_group_name_Hall '-I 4bd 2c 3'
loop_
_atom_site_label
_atom_site_type_symbol
_atom_site_fract_x
_atom_site_fract_y
_atom_site_fract_z
Rb1 Rb 0.000 0.000 0.000
Rb2 Rb 0.000 0.250 0.375
Sn1 Sn 0.000 0.250 0.125
Hg1 Hg 0.005 0.096 0.652
```

Summary:
Uncorrected energy in eV per atom: -1.02
Fermi-level density of states in states/eV/cell: 105.27